[1]
Density functional theory data (PBE) for Cr2RhSe after structural relaxation.

a b c (Å): 4.8943 4.8943 4.8943
angles (deg): 134.70 134.70 65.99
Each line ends with the local moment (μB).
Atoms (fractional coordinates):
Cr  0.0000  0.0000  0.0000  3.00
Cr  0.2500  0.7500  0.5000  -2.96
Rh  0.5000  0.5000  0.0000  0.09
Se  0.7500  0.2500  0.5000  0.01

**ρ**: 8.14 Mg/m³
**Space group**: I-4m2
**Spin magnetization**: 0.14 μB per formula unit
**DFT total energy**: -7.444 eV/atom

***

[2]
Density functional theory data (PBE) for Cr3RhSe after structural relaxation.

a b c (Å): 4.4106 4.4106 4.4106
angles (deg): 90.00 90.00 90.00
Each line ends with the local moment (μB).
Atoms (fractional coordinates):
Cr  0.0000  0.0000  0.5000  2.52
Cr  0.5000  0.0000  0.0000  1.94
Cr  0.0000  0.5000  0.0000  2.29
Se  0.0000  0.0000  0.0000  -0.08
Rh  0.5000  0.5000  0.5000  0.03

**ρ**: 6.54 Mg/m³
**Space group**: Pm-3m
**Spin magnetization**: 6.92 μB per formula unit
**DFT total energy**: -6.912 eV/atom

***

[3]
Density functional theory data (PBE) for CrRhSe after structural relaxation.

a b c (Å): 5.4380 5.4381 2.9244
angles (deg): 74.40 74.40 31.20
Each line ends with the local moment (μB).
Atoms (fractional coordinates):
Cr  0.0056  0.0056  0.9944  0.32
Se  0.6491  0.6491  0.3509  -0.01
Rh  0.3454  0.3453  0.6546  0.03

**ρ**: 9.03 Mg/m³
**Space group**: I4mm
**Spin magnetization**: 0.34 μB per formula unit
**DFT total energy**: -6.732 eV/atom

***

[4]
Density functional theory data (PBE) for Cr2RhSe after structural relaxation.

a b c (Å): 2.8619 2.8627 6.4249
angles (deg): 90.00 90.00 90.00
Each line ends with the local moment (μB).
Atoms (fractional coordinates):
Cr  0.0000  0.0000  0.5197  0.08
Cr  0.0000  0.0000  0.9803  0.08
Se  0.5000  0.5000  0.7500  -0.01
Rh  0.5000  0.5000  0.2500  -0.01

**ρ**: 9.02 Mg/m³
**Space group**: P4/mmm
**Spin magnetization**: 0.14 μB per formula unit
**DFT total energy**: -7.398 eV/atom

***

[5]
Density functional theory data (PBE) for CrRh2Se4 after structural relaxation.

a b c (Å): 6.6166 6.6166 6.5876
angles (deg): 61.46 61.46 32.64
Each line ends with the local moment (μB).
Atoms (fractional coordinates):
Se  0.1276  0.1276  0.5430  -0.02
Se  0.8724  0.8724  0.4570  -0.02
Se  0.6312  0.6312  0.0322  -0.04
Se  0.3688  0.3688  0.9678  -0.04
Rh  0.2592  0.2592  0.7252  0.15
Rh  0.7408  0.7408  0.2748  0.15
Cr  0.0000  0.0000  0.0000  3.07

**ρ**: 7.06 Mg/m³
**Space group**: C2/m
**Spin magnetization**: 3.54 μB per formula unit
**DFT total energy**: -5.864 eV/atom

***

[6]
Density functional theory data (PBE) for Cr2RhSe after structural relaxation.

a b c (Å): 3.0522 3.0522 6.0223
angles (deg): 90.00 90.00 90.00
Each line ends with the local moment (μB).
Atoms (fractional coordinates):
Se  0.5000  0.5000  0.7870  0.04
Cr  0.0000  0.0000  0.9956  -0.93
Cr  0.5000  0.5000  0.2403  2.20
Rh  0.0000  0.0000  0.4771  0.11

**ρ**: 8.46 Mg/m³
**Space group**: P4mm
**Spin magnetization**: 1.51 μB per formula unit
**DFT total energy**: -7.413 eV/atom

***

[7]
Density functional theory data (PBE) for CrSnRh2Se after structural relaxation.

a b c (Å): 4.6071 4.4085 4.6071
angles (deg): 90.00 90.00 90.00
Each line ends with the local moment (μB).
Atoms (fractional coordinates):
Rh  0.0000  0.0000  0.5000  0.05
Rh  0.5000  0.0000  0.0000  0.04
Cr  0.0000  0.5000  0.0000  -0.07
Sn  0.5000  0.5000  0.5000  0.02
Se  0.0000  0.0000  0.0000  0.00

**ρ**: 8.08 Mg/m³
**Space group**: P4/mmm
**Spin magnetization**: 0.07 μB per formula unit
**DFT total energy**: -5.878 eV/atom

***

[8]
Density functional theory data (PBE) for Tl2CrRhSe after structural relaxation.

a b c (Å): 5.5471 4.3546 5.5471
angles (deg): 90.00 90.00 90.00
Each line ends with the local moment (μB).
Atoms (fractional coordinates):
Cr  0.0000  0.5000  0.0000  0.64
Se  0.0000  0.0000  0.0000  -0.02
Rh  0.5000  0.5000  0.5000  -0.58
Tl  0.0000  0.0000  0.5000  0.00
Tl  0.5000  0.0000  0.0000  -0.01

**ρ**: 7.96 Mg/m³
**Space group**: P4/mmm
**Spin magnetization**: 0.05 μB per formula unit
**DFT total energy**: -3.830 eV/atom

***

[9]
Density functional theory data (PBE) for VCr2RhSe after structural relaxation.

a b c (Å): 4.7691 4.6120 4.7691
angles (deg): 90.00 90.00 90.00
Each line ends with the local moment (μB).
Atoms (fractional coordinates):
V  0.0000  0.5000  0.0000  -2.13
Cr  0.0000  0.0000  0.5000  3.28
Cr  0.5000  0.0000  0.0000  3.62
Se  0.5000  0.5000  0.5000  0.00
Rh  0.0000  0.0000  0.0000  0.02

**ρ**: 5.33 Mg/m³
**Space group**: P4/mmm
**Spin magnetization**: 5.17 μB per formula unit
**DFT total energy**: -6.922 eV/atom

***

[10]
Density functional theory data (PBE) for ZnCr2RhSe after structural relaxation.

a b c (Å): 4.7383 4.7087 4.7383
angles (deg): 90.00 90.00 90.00
Each line ends with the local moment (μB).
Atoms (fractional coordinates):
Rh  0.0000  0.0000  0.0000  -0.19
Cr  0.5000  0.0000  0.0000  3.71
Cr  0.0000  0.0000  0.5000  3.21
Se  0.5000  0.5000  0.5000  -0.11
Zn  0.0000  0.5000  0.0000  -0.07

**ρ**: 5.52 Mg/m³
**Space group**: P4/mmm
**Spin magnetization**: 7.32 μB per formula unit
**DFT total energy**: -5.556 eV/atom

***

[11]
Density functional theory data (PBE) for CrSiRh after structural relaxation.

a b c (Å): 5.2196 5.2196 2.8053
angles (deg): 74.41 74.41 31.18
Each line ends with the local moment (μB).
Atoms (fractional coordinates):
Si  0.3338  0.3338  0.6662  -0.01
Cr  0.9875  0.9875  0.0125  1.14
Rh  0.6786  0.6786  0.3214  -0.01

**ρ**: 8.00 Mg/m³
**Space group**: I4mm
**Spin magnetization**: 1.16 μB per formula unit
**DFT total energy**: -7.806 eV/atom

***

[12]
Density functional theory data (PBE) for CrSiRh2 after structural relaxation.

a b c (Å): 3.3919 2.8252 6.2835
angles (deg): 63.36 90.00 90.00
Each line ends with the local moment (μB).
Atoms (fractional coordinates):
Cr  0.5000  0.7500  0.7500  2.63
Rh  0.0000  0.9908  0.0101  0.09
Rh  0.0000  0.5092  0.4899  0.09
Si  0.5000  0.2500  0.2500  0.00

**ρ**: 8.82 Mg/m³
**Space group**: P2/m
**Spin magnetization**: 2.98 μB per formula unit
**DFT total energy**: -7.779 eV/atom

***

[13]
Density functional theory data (PBE) for CrSiRh2 after structural relaxation.

a b c (Å): 3.9824 3.9830 3.4066
angles (deg): 90.00 90.00 90.00
Each line ends with the local moment (μB).
Atoms (fractional coordinates):
Cr  0.0000  0.5000  0.5000  2.96
Rh  0.5000  0.5000  0.0000  0.12
Rh  0.0000  0.0000  0.0000  0.12
Si  0.5000  0.0000  0.5000  -0.02

**ρ**: 8.79 Mg/m³
**Space group**: P4/mmm
**Spin magnetization**: 3.42 μB per formula unit
**DFT total energy**: -7.841 eV/atom

***

[14]
Density functional theory data (PBE) for Cr4SiRh after structural relaxation.

a b c (Å): 4.7169 4.7169 4.7169
angles (deg): 60.00 60.00 60.00
Atoms (fractional coordinates):
Cr  0.8813  0.3729  0.3729
Cr  0.3729  0.8813  0.3729
Cr  0.3729  0.3729  0.8813
Cr  0.3729  0.3729  0.3729
Si  0.0000  0.0000  0.0000
Rh  0.7500  0.7500  0.7500

**ρ**: 7.59 Mg/m³
**Space group**: F-43m
**Spin magnetization**: 0.00 μB per formula unit
**DFT total energy**: -8.443 eV/atom

***

[15]
Density functional theory data (PBE) for CrSiRh2 after structural relaxation.

a b c (Å): 4.4412 4.4412 4.6857
angles (deg): 77.50 77.50 36.82
Each line ends with the local moment (μB).
Atoms (fractional coordinates):
Cr  0.2500  0.2500  0.2500  2.23
Rh  0.4915  0.4915  0.5026  -0.01
Rh  0.0085  0.0085  0.9974  -0.01
Si  0.7500  0.7500  0.7500  -0.04

**ρ**: 8.80 Mg/m³
**Space group**: C2/m
**Spin magnetization**: 2.30 μB per formula unit
**DFT total energy**: -7.739 eV/atom

***

[16]
Density functional theory data (PBE) for CrSi2Rh after structural relaxation.

a b c (Å): 7.9342 7.9342 7.9342
angles (deg): 20.07 20.07 20.07
Each line ends with the local moment (μB).
Atoms (fractional coordinates):
Si  0.9989  0.9989  0.9989  0.00
Si  0.5011  0.5011  0.5011  0.00
Cr  0.2500  0.2500  0.2500  1.04
Rh  0.7500  0.7500  0.7500  0.01

**ρ**: 6.81 Mg/m³
**Space group**: R-3m
**Spin magnetization**: 1.15 μB per formula unit
**DFT total energy**: -7.254 eV/atom

***

[17]
Density functional theory data (PBE) for Cr2Si4Rh after structural relaxation.

a b c (Å): 4.5596 4.5596 6.8126
angles (deg): 70.45 70.45 90.00
Each line ends with the local moment (μB).
Atoms (fractional coordinates):
Cr  0.6043  0.6043  0.7913  2.65
Cr  0.3957  0.3957  0.2087  2.65
Si  0.5000  0.0000  0.0000  -0.10
Si  0.0000  0.5000  0.0000  -0.10
Si  0.1998  0.1998  0.6005  -0.03
Si  0.8002  0.8002  0.3995  -0.03
Rh  0.0000  0.0000  0.0000  0.01

**ρ**: 4.25 Mg/m³
**Space group**: I4/mmm
**Spin magnetization**: 5.37 μB per formula unit
**DFT total energy**: -6.386 eV/atom

***

[18]
Density functional theory data (PBE) for CrSi2Rh after structural relaxation.

a b c (Å): 3.7090 2.7356 5.2324
angles (deg): 90.03 90.00 90.00
Each line ends with the local moment (μB).
Atoms (fractional coordinates):
Si  0.0000  0.7492  0.0236  -0.03
Si  0.0000  0.7508  0.4764  -0.03
Rh  0.5000  0.7500  0.7500  -0.01
Cr  0.5000  0.2500  0.2500  0.81

**ρ**: 6.60 Mg/m³
**Space group**: Pmmm
**Spin magnetization**: 0.74 μB per formula unit
**DFT total energy**: -7.255 eV/atom

***

[19]
Density functional theory data (PBE) for CrSiRh after structural relaxation.

a b c (Å): 4.0045 4.0045 4.0045
angles (deg): 60.00 60.00 60.00
Each line ends with the local moment (μB).
Atoms (fractional coordinates):
Cr  0.0000  0.0000  0.0000  2.83
Si  0.7500  0.7500  0.7500  -0.07
Rh  0.5000  0.5000  0.5000  0.19

**ρ**: 6.69 Mg/m³
**Space group**: F-43m
**Spin magnetization**: 3.12 μB per formula unit
**DFT total energy**: -7.677 eV/atom

***

[20]
Density functional theory data (PBE) for CrSiRh2 after structural relaxation.

a b c (Å): 5.0709 5.0709 5.0709
angles (deg): 148.04 130.26 60.35
Atoms (fractional coordinates):
Rh  0.0073  0.0073  0.0000
Rh  0.7189  0.2189  0.5000
Cr  0.2751  0.7751  0.5000
Si  0.4986  0.4986  0.0000

**ρ**: 9.09 Mg/m³
**Space group**: Imm2
**Spin magnetization**: 0.00 μB per formula unit
**DFT total energy**: -7.800 eV/atom